No. 1
The following is a PBE calculation of a geometry-optimized CdAg6 structure, from the Alexandria database.

Geometry as POSCAR:
```
CdAg6
1.0
2.843 0.000 -0.382
-1.427 6.235 -3.440
0.010 0.000 7.262
Ag Cd
6 1
Cartesian
2.103 0.877 4.350 Ag
1.095 3.538 4.034 Ag
-0.676 5.358 -0.910 Ag
-0.129 1.820 2.099 Ag
1.556 4.415 1.341 Ag
0.331 2.697 -0.594 Ag
1.422 0.000 -0.191 Cd
```

Output
Relative energy among the computed polymorphs, meV per atom: 0
Symmetry: R-3



No. 2
The following is a PBE calculation of a geometry-optimized CdAg structure, from the Alexandria database.

Geometry as POSCAR:
```
CdAg
1.0
3.072 0.000 0.000
0.000 3.072 0.000
0.000 0.000 8.336
Ag Cd
2 2
Cartesian
0.768 0.768 0.977 Ag
2.304 2.304 7.360 Ag
0.768 0.768 5.327 Cd
2.304 2.304 3.009 Cd
```

Output
Symmetry: P4/nmm



No. 3
The following is a PBE calculation of a geometry-optimized CdAg structure, from the Alexandria database.

Geometry as POSCAR:
```
CdAg
1.0
4.337 0.000 0.000
-2.169 3.756 0.000
0.000 0.000 5.705
Cd Ag
2 2
Cartesian
0.000 2.504 1.426 Cd
2.169 1.252 4.279 Cd
0.000 0.000 2.852 Ag
0.000 0.000 0.000 Ag
```

Output
Symmetry: P6_3/mmc



No. 4
The following is a PBE calculation of a geometry-optimized CdAg2 structure, from the Alexandria database.

Geometry as POSCAR:
```
CdAg2
1.0
-1.680 -0.132 5.145
2.341 4.603 -1.627
-4.428 -0.610 -3.055
Ag Cd
4 2
Cartesian
-1.651 1.281 -1.317 Ag
-2.115 2.580 1.780 Ag
-4.293 0.121 0.653 Ag
0.526 3.740 -0.190 Ag
0.165 1.118 0.879 Cd
0.496 3.353 2.638 Cd
```

Output
Relative energy among the computed polymorphs, meV per atom: 167
Symmetry: I4/mcm



No. 5
The following is a PBE calculation of a geometry-optimized Cd4Ag5 structure, from the Alexandria database.

Geometry as POSCAR:
```
Cd4Ag5
1.0
3.813 0.006 0.006
1.910 6.735 -0.377
1.910 0.513 6.726
Ag Cd
5 4
Cartesian
3.817 0.364 4.503 Ag
1.910 2.564 4.385 Ag
1.910 0.536 6.699 Ag
3.817 2.743 6.587 Ag
1.910 4.661 1.990 Ag
3.818 4.827 4.216 Cd
3.818 6.889 1.862 Cd
3.816 2.439 2.124 Cd
3.816 4.501 -0.230 Cd
```

Output
Relative energy among the computed polymorphs, meV per atom: 0
Symmetry: C2/m



No. 6
The following is a PBE calculation of a geometry-optimized CdAg2 structure, from the Alexandria database.

Geometry as POSCAR:
```
CdAg2
1.0
2.940 0.000 0.000
0.000 4.393 0.000
0.000 0.000 19.421
Ag Cd
8 4
Cartesian
0.000 3.295 15.772 Ag
0.000 3.295 18.587 Ag
0.000 1.098 0.834 Ag
1.470 1.098 6.062 Ag
1.470 3.295 10.545 Ag
0.000 1.098 3.649 Ag
1.470 1.098 8.876 Ag
1.470 3.295 13.359 Ag
0.000 3.295 7.497 Cd
1.470 1.098 17.207 Cd
0.000 1.098 11.925 Cd
1.470 3.295 2.214 Cd
```

Output
Relative energy among the computed polymorphs, meV per atom: 128
Symmetry: Imma



No. 7
The following is a PBE calculation of a geometry-optimized CdAg3 structure, from the Alexandria database.

Geometry as POSCAR:
```
CdAg3
1.0
2.873 0.000 0.049
0.000 4.771 0.000
-0.871 0.000 5.422
Ag Cd
3 1
Cartesian
1.437 2.386 0.024 Ag
1.476 0.000 4.122 Ag
0.526 0.000 1.348 Ag
-0.436 2.386 2.711 Cd
```

Output
Symmetry: P2/m



No. 8
The following is a PBE calculation of a geometry-optimized Cd3Ag5 structure, from the Alexandria database.

Geometry as POSCAR:
```
Cd3Ag5
1.0
-0.451 1.355 -7.918
0.777 -6.133 5.149
-7.624 1.678 1.678
Ag Cd
10 6
Cartesian
-4.887 -3.450 -0.130 Ag
-3.669 0.361 -3.817 Ag
-2.409 0.344 -0.955 Ag
-1.364 0.413 -5.681 Ag
-5.947 -3.518 4.586 Ag
-6.182 -2.082 2.080 Ag
-5.244 0.129 -0.821 Ag
-1.128 -1.025 -3.172 Ag
-3.641 -3.462 2.726 Ag
-2.052 -3.226 -0.278 Ag
-7.520 0.359 1.202 Cd
-0.821 -3.918 2.200 Cd
-3.634 -0.983 1.240 Cd
-7.398 -1.782 -0.616 Cd
-3.676 -2.119 -2.331 Cd
-6.491 0.814 -3.292 Cd
```

Output
Relative energy among the computed polymorphs, meV per atom: 64
Symmetry: Cm



No. 9
The following is a PBE calculation of a geometry-optimized Cd2Ag structure, from the Alexandria database.

Geometry as POSCAR:
```
Cd2Ag
1.0
4.828 0.000 0.000
-2.414 4.181 0.000
0.000 0.000 3.003
Ag Cd
1 2
Cartesian
0.000 0.000 0.000 Ag
0.000 2.787 0.954 Cd
2.414 1.394 2.048 Cd
```

Output
Relative energy among the computed polymorphs, meV per atom: 51
Symmetry: P-3m1



No. 10
The following is a PBE calculation of a geometry-optimized CdAg structure, from the Alexandria database.

Geometry as POSCAR:
```
CdAg
1.0
5.344 0.030 -0.061
2.055 4.933 0.061
-3.686 -2.501 2.953
Ag Cd
2 2
Cartesian
1.348 -0.006 2.199 Ag
2.364 2.468 0.753 Ag
-0.302 2.442 2.260 Cd
4.014 0.019 0.692 Cd
```

Output
Symmetry: Imma



No. 11
The following is a PBE calculation of a geometry-optimized Cd2Ag structure, from the Alexandria database.

Geometry as POSCAR:
```
Cd2Ag
1.0
0.000 4.000 4.000
4.000 0.000 4.000
4.000 4.000 0.000
Cd Ag
4 2
Cartesian
3.000 3.000 1.000 Cd
1.000 1.000 1.000 Cd
3.000 1.000 3.000 Cd
1.000 3.000 3.000 Cd
6.000 6.000 6.000 Ag
4.000 4.000 4.000 Ag
```

Output
Relative energy among the computed polymorphs, meV per atom: 203
Symmetry: Fd-3m



No. 12
The following is a PBE calculation of a geometry-optimized Cd3Ag4 structure, from the Alexandria database.

Geometry as POSCAR:
```
Cd3Ag4
1.0
5.795 0.000 0.000
-1.932 7.314 0.000
-1.932 -3.657 6.334
Cd Ag
6 8
Cartesian
-1.929 1.064 5.426 Cd
-0.002 3.147 3.635 Cd
1.929 5.232 1.791 Cd
0.002 -1.574 4.543 Cd
1.934 0.510 2.699 Cd
3.861 2.593 0.908 Cd
-0.950 0.513 2.703 Ag
0.000 0.000 0.000 Ag
2.882 3.144 3.631 Ag
2.897 0.000 0.000 Ag
-0.981 5.230 1.796 Ag
0.950 2.598 0.907 Ag
0.981 1.060 5.427 Ag
2.913 -1.572 4.538 Ag
```

Output
Relative energy among the computed polymorphs, meV per atom: 4
Symmetry: R-3



No. 13
The following is a PBE calculation of a geometry-optimized Cd4Ag3 structure, from the Alexandria database.

Geometry as POSCAR:
```
Cd4Ag3
1.0
5.554 0.000 0.000
2.777 4.810 0.000
0.000 0.000 5.422
Cd Ag
4 3
Cartesian
0.000 0.000 1.370 Cd
5.554 3.207 2.711 Cd
0.000 0.000 4.052 Cd
2.777 1.603 2.711 Cd
2.777 0.000 0.000 Ag
4.166 2.405 0.000 Ag
1.389 2.405 0.000 Ag
```

Output
Relative energy among the computed polymorphs, meV per atom: 42
Symmetry: P6/mmm



No. 14
The following is a PBE calculation of a geometry-optimized CdAg5 structure, from the Alexandria database.

Geometry as POSCAR:
```
CdAg5
1.0
-1.199 4.912 -10.916
-1.102 -2.616 -1.056
-2.805 0.894 0.711
Cd Ag
1 5
Cartesian
-2.953 3.233 -9.270 Cd
-0.400 1.637 -3.639 Ag
-2.156 -0.029 -2.021 Ag
-2.550 1.582 -5.602 Ag
-0.006 0.025 -0.055 Ag
-0.793 3.250 -7.222 Ag
```

Output
Relative energy among the computed polymorphs, meV per atom: 20
Symmetry: P4/mmm



No. 15
The following is a PBE calculation of a geometry-optimized Cd4Ag3 structure, from the Alexandria database.

Geometry as POSCAR:
```
Cd4Ag3
1.0
3.063 0.000 0.000
0.000 4.134 0.000
-1.531 -2.067 10.883
Ag Cd
3 4
Cartesian
0.000 2.067 0.000 Ag
1.531 0.000 7.810 Ag
0.000 2.067 3.072 Ag
0.000 2.067 9.347 Cd
1.531 0.000 1.535 Cd
1.531 0.000 4.610 Cd
0.000 2.067 6.273 Cd
```

Output
Relative energy among the computed polymorphs, meV per atom: 0
Symmetry: Immm



No. 16
The following is a PBE calculation of a geometry-optimized Cd5Ag6 structure, from the Alexandria database.

Geometry as POSCAR:
```
Cd5Ag6
1.0
-2.762 6.917 3.907
-0.837 0.813 7.023
3.545 3.356 1.371
Ag Cd
6 5
Cartesian
1.644 5.773 7.631 Ag
0.857 2.612 1.271 Ag
-1.698 5.313 4.669 Ag
-0.074 7.661 4.006 Ag
-2.822 7.519 9.022 Ag
2.768 3.567 3.278 Ag
-1.226 2.705 3.398 Cd
0.698 3.646 5.495 Cd
0.391 5.137 2.639 Cd
-0.752 7.440 6.805 Cd
-2.373 5.025 7.531 Cd
```

Output
Symmetry: C2/m



No. 17
The following is a PBE calculation of a geometry-optimized CdAg2 structure, from the Alexandria database.

Geometry as POSCAR:
```
CdAg2
1.0
5.571 -0.114 0.090
4.751 2.911 0.090
-8.335 -2.259 6.633
Cd Ag
2 4
Cartesian
4.192 1.136 2.293 Cd
7.476 2.026 0.547 Cd
-4.905 -1.329 4.867 Ag
-2.085 -0.565 4.425 Ag
1.360 0.369 2.767 Ag
1.972 0.534 6.706 Ag
```

Output
Relative energy among the computed polymorphs, meV per atom: 22
Symmetry: C2/m



No. 18
The following is a PBE calculation of a geometry-optimized Cd5Ag structure, from the Alexandria database.

Geometry as POSCAR:
```
Cd5Ag
1.0
-3.369 -4.490 -1.144
-4.082 -1.538 3.713
-5.517 0.819 -1.308
Cd Ag
5 1
Cartesian
-9.726 -3.907 0.946 Cd
-6.905 -2.722 2.332 Cd
-4.861 -1.952 0.473 Cd
-7.623 -1.543 -0.182 Cd
-6.548 -4.200 -0.100 Cd
0.000 0.000 0.000 Ag
```

Output
Symmetry: F-43m



No. 19
The following is a PBE calculation of a geometry-optimized CdAg structure, from the Alexandria database.

Geometry as POSCAR:
```
CdAg
1.0
4.018 0.000 0.000
2.009 3.480 0.000
2.009 1.160 3.281
Cd Ag
1 1
Cartesian
4.018 2.320 1.640 Cd
0.000 0.000 0.000 Ag
```

Output
Symmetry: Fm-3m



No. 20
The following is a PBE calculation of a geometry-optimized Cd4Ag3 structure, from the Alexandria database.

Geometry as POSCAR:
```
Cd4Ag3
1.0
4.263 0.000 0.000
-2.131 4.904 0.071
0.000 0.686 6.657
Ag Cd
3 4
Cartesian
2.131 2.717 5.738 Ag
0.000 2.872 0.989 Ag
0.000 0.000 0.000 Ag
0.000 4.694 4.928 Cd
0.000 1.800 3.876 Cd
2.131 0.895 1.799 Cd
2.131 3.790 2.851 Cd
```

Output
Relative energy among the computed polymorphs, meV per atom: 9
Symmetry: C2/m



Fermi-level density of states / states/eV per cell: 1.8 0.8 0.6 1.5 1.8 5.3 1.2 4.0 0.6 0.7 3.9 2.6 2.6 1.2 1.8 2.5 1.5 1.0 1.0 1.7
DFT formation energy / kJ/mol of atoms: 3 -2 9 12 -4 8 1 2 0 -5 14 -4 0 0 -4 0 -2 12 20 -3
Total moment / Bohr magnetons per cell: 0.0 0.0 0.0 0.0 0.0 0.0 0.0 0.0 0.0 0.0 0.0 0.0 0.0 0.0 0.0 0.0 0.0 0.0 0.0 0.0